K2Hf2Sc | PBE | relaxed

abc: 10.5611 10.5611 3.0106
angles: 90.00 90.00 90.00
With the nearest neighbours (Å) after each atom.
Fractional coordinates of all 10 atoms:
Sc (0.0000, 0.0000, 0.0000)  2 Sc 3.01
Sc (0.5000, 0.5000, 0.0000)  2 Sc 3.01
K (0.3009, 0.8009, 0.0000)  2 K 3.01
K (0.8009, 0.6991, 0.0000)  2 K 3.01
K (0.6991, 0.1991, 0.0000)  2 K 3.01
K (0.1991, 0.3009, 0.0000)  2 K 3.01
Hf (0.0942, 0.5942, 0.5000)  3 Hf 2.81-3.01
Hf (0.5942, 0.9058, 0.5000)  3 Hf 2.81-3.01
Hf (0.9058, 0.4058, 0.5000)  3 Hf 2.81-3.01
Hf (0.4058, 0.0942, 0.5000)  3 Hf 2.81-3.01

Excess energy over the best structure of this formula in the dataset   287 meV per atom
E_form   1.329 eV per atom
Energy   -43.58 eV for the cell shown

=====

KHfSc | PBE | relaxed

abc: 5.1274 6.3910 11.2820
angles: 90.00 90.00 90.00
With the nearest neighbours (Å) after each atom.
Fractional coordinates of all 12 atoms:
Sc (0.7562, 0.2500, 0.4606)  3 Hf 2.98-3.12
Sc (0.7438, 0.7500, 0.9606)  3 Hf 2.98-3.12
Sc (0.2438, 0.7500, 0.5394)  3 Hf 2.98-3.12
Sc (0.2562, 0.2500, 0.0394)  3 Hf 2.98-3.12
K (0.7558, 0.2500, 0.8373)  2 K 3.23, 4 Sc 3.43-3.49, 2 Hf 3.57
K (0.7442, 0.7500, 0.3373)  2 K 3.23, 4 Sc 3.43-3.49, 2 Hf 3.57
K (0.2442, 0.7500, 0.1627)  2 K 3.23, 4 Sc 3.43-3.49, 2 Hf 3.57
K (0.2558, 0.2500, 0.6627)  2 K 3.23, 4 Sc 3.43-3.49, 2 Hf 3.57
Hf (0.2569, 0.2500, 0.3039)  2 Hf 2.84, 3 Sc 2.98-3.12
Hf (0.2431, 0.7500, 0.8039)  2 Hf 2.84, 3 Sc 2.98-3.12
Hf (0.7431, 0.7500, 0.6961)  2 Hf 2.84, 3 Sc 2.98-3.12
Hf (0.7569, 0.2500, 0.1961)  2 Hf 2.84, 3 Sc 2.98-3.12

Excess energy over the best structure of this formula in the dataset   615 meV per atom
E_form   0.867 eV per atom
Energy   -59.12 eV for the cell shown

=====

KHfSc | PBE | relaxed

abc: 7.8362 4.4372 10.2946
angles: 90.00 90.00 90.00
With the nearest neighbours (Å) after each atom.
Fractional coordinates of all 12 atoms:
Sc (0.8583, 0.2500, 0.7798)  3 Hf 3.12-3.15, 2 K 3.34
Sc (0.6417, 0.7500, 0.2798)  3 Hf 3.12-3.15, 2 K 3.34
Sc (0.1417, 0.7500, 0.2202)  3 Hf 3.12-3.15, 2 K 3.34
Sc (0.3583, 0.2500, 0.7202)  3 Hf 3.12-3.15, 2 K 3.34
K (0.8891, 0.2500, 0.4320)  2 K 3.15, 2 Sc 3.34
K (0.6109, 0.7500, 0.9320)  2 K 3.15, 2 Sc 3.34
K (0.1109, 0.7500, 0.5680)  2 K 3.15, 2 Sc 3.34
K (0.3891, 0.2500, 0.0680)  2 K 3.15, 2 Sc 3.34
Hf (0.4249, 0.2500, 0.4213)  2 Hf 2.99, 3 Sc 3.12-3.15
Hf (0.0751, 0.7500, 0.9213)  2 Hf 2.99, 3 Sc 3.12-3.15
Hf (0.5751, 0.7500, 0.5787)  2 Hf 2.99, 3 Sc 3.12-3.15
Hf (0.9249, 0.2500, 0.0787)  2 Hf 2.99, 3 Sc 3.12-3.15

Excess energy over the best structure of this formula in the dataset   620 meV per atom
E_form   0.873 eV per atom
Energy   -59.06 eV for the cell shown

=====

Respective total magnetization values: 2.343, 0.000, 0.000 μB per cell.